(1)
VASP calculation (PBE with a Hubbard U) on a geometry-optimized BeCoPO structure.

Energy above the lowest structure with this stoichiometry (meV per atom): 0
V (Å³/atom): 11.363

CIF file:
```
data_BeCoPO
_space_group_name_H-M_alt 'P m c 21'
_space_group_IT_number 26
_space_group_name_Hall 'P 2c -2'
_cell_length_a 2.734
_cell_length_b 5.757
_cell_length_c 5.777
_cell_angle_alpha 90.00
_cell_angle_beta 90.00
_cell_angle_gamma 90.00
loop_
_atom_site_label
_atom_site_type_symbol
_atom_site_fract_x
_atom_site_fract_y
_atom_site_fract_z
_atom_site_occupancy
Be1 Be 0.000 0.087 0.000 1
Co1 Co 0.500 0.498 0.749 1
P1 P 0.000 0.295 0.498 1
O1 O 0.500 0.199 0.000 1
```

***

(2)
VASP calculation (PBE with a Hubbard U) on a geometry-optimized BeCoPO structure.

Energy above the lowest structure with this stoichiometry (meV per atom): 160
V (Å³/atom): 12.136

CIF file:
```
data_BeCoPO
_space_group_name_H-M_alt 'P m c 21'
_space_group_IT_number 26
_space_group_name_Hall 'P 2c -2'
_cell_length_a 3.265
_cell_length_b 6.141
_cell_length_c 4.842
_cell_angle_alpha 90.00
_cell_angle_beta 90.00
_cell_angle_gamma 90.00
loop_
_atom_site_label
_atom_site_type_symbol
_atom_site_fract_x
_atom_site_fract_y
_atom_site_fract_z
_atom_site_occupancy
Be1 Be 0.000 0.122 0.000 1
Co1 Co 0.500 0.277 0.399 1
P1 P 0.500 0.357 0.866 1
O1 O 0.000 0.091 0.321 1
```

***

(3)
VASP calculation (PBE with a Hubbard U) on a geometry-optimized BeCoPO structure.

Energy above the lowest structure with this stoichiometry (meV per atom): 734
V (Å³/atom): 12.589

CIF file:
```
data_BeCoPO
_space_group_name_H-M_alt 'P 4/n m m'
_space_group_IT_number 129
_cell_length_a 3.525
_cell_length_b 3.525
_cell_length_c 8.106
_cell_angle_alpha 90.00
_cell_angle_beta 90.00
_cell_angle_gamma 90.00
loop_
_space_group_symop_operation_xyz
'x,y,z'
'-x,-y,-z'
'-y+1/2,x,z'
'y+1/2,-x,-z'
'-x+1/2,-y+1/2,z'
'x+1/2,y+1/2,-z'
'y,-x+1/2,z'
'-y,x+1/2,-z'
'x+1/2,-y,-z'
'-x+1/2,y,z'
'-y,-x,-z'
'y,x,z'
'-x,y+1/2,-z'
'x,-y+1/2,z'
'y+1/2,x+1/2,-z'
'-y+1/2,-x+1/2,z'
loop_
_atom_site_label
_atom_site_type_symbol
_atom_site_fract_x
_atom_site_fract_y
_atom_site_fract_z
_atom_site_occupancy
Be1 Be 0.250 0.750 0.000 1
Co1 Co 0.250 0.250 0.391 1
P1 P 0.250 0.250 0.838 1
O1 O 0.250 0.750 0.500 1
```

***

(4)
VASP calculation (PBE with a Hubbard U) on a geometry-optimized BeCoPO structure.

Energy above the lowest structure with this stoichiometry (meV per atom): 22
V (Å³/atom): 11.996

CIF file:
```
data_BeCoPO
_space_group_name_H-M_alt 'P 4/n m m'
_space_group_IT_number 129
_cell_length_a 3.431
_cell_length_b 3.431
_cell_length_c 8.152
_cell_angle_alpha 90.00
_cell_angle_beta 90.00
_cell_angle_gamma 90.00
loop_
_space_group_symop_operation_xyz
'x,y,z'
'-x,-y,-z'
'-y+1/2,x,z'
'y+1/2,-x,-z'
'-x+1/2,-y+1/2,z'
'x+1/2,y+1/2,-z'
'y,-x+1/2,z'
'-y,x+1/2,-z'
'x+1/2,-y,-z'
'-x+1/2,y,z'
'-y,-x,-z'
'y,x,z'
'-x,y+1/2,-z'
'x,-y+1/2,z'
'y+1/2,x+1/2,-z'
'-y+1/2,-x+1/2,z'
loop_
_atom_site_label
_atom_site_type_symbol
_atom_site_fract_x
_atom_site_fract_y
_atom_site_fract_z
_atom_site_occupancy
Be1 Be 0.250 0.250 0.010 1
Co1 Co 0.250 0.750 0.500 1
P1 P 0.250 0.250 0.343 1
O1 O 0.250 0.750 0.000 1
```

***

(5)
VASP calculation (PBE with a Hubbard U) on a geometry-optimized BeCoSeO structure.

Energy above the lowest structure with this stoichiometry (meV per atom): 826
V (Å³/atom): 13.449

CIF file:
```
data_BeCoSeO
_space_group_name_H-M_alt 'P 4/n m m'
_space_group_IT_number 129
_cell_length_a 3.601
_cell_length_b 3.601
_cell_length_c 8.296
_cell_angle_alpha 90.00
_cell_angle_beta 90.00
_cell_angle_gamma 90.00
loop_
_space_group_symop_operation_xyz
'x,y,z'
'-x,-y,-z'
'-y+1/2,x,z'
'y+1/2,-x,-z'
'-x+1/2,-y+1/2,z'
'x+1/2,y+1/2,-z'
'y,-x+1/2,z'
'-y,x+1/2,-z'
'x+1/2,-y,-z'
'-x+1/2,y,z'
'-y,-x,-z'
'y,x,z'
'-x,y+1/2,-z'
'x,-y+1/2,z'
'y+1/2,x+1/2,-z'
'-y+1/2,-x+1/2,z'
loop_
_atom_site_label
_atom_site_type_symbol
_atom_site_fract_x
_atom_site_fract_y
_atom_site_fract_z
_atom_site_occupancy
Be1 Be 0.250 0.250 0.108 1
Co1 Co 0.250 0.250 0.407 1
Se1 Se 0.250 0.250 0.843 1
O1 O 0.250 0.750 0.500 1
```

***

(6)
VASP calculation (PBE with a Hubbard U) on a geometry-optimized BeCoSeO structure.

Energy above the lowest structure with this stoichiometry (meV per atom): 1
V (Å³/atom): 12.364

CIF file:
```
data_BeCoSeO
_space_group_name_H-M_alt 'P c a 21'
_space_group_IT_number 29
_space_group_name_Hall 'P 2c -2ac'
_cell_length_a 5.194
_cell_length_b 8.054
_cell_length_c 4.729
_cell_angle_alpha 90.00
_cell_angle_beta 90.00
_cell_angle_gamma 90.00
loop_
_atom_site_label
_atom_site_type_symbol
_atom_site_fract_x
_atom_site_fract_y
_atom_site_fract_z
_atom_site_occupancy
Be1 Be 0.121 0.028 0.000 1
Co1 Co 0.083 0.330 0.645 1
Se1 Se 0.063 0.644 0.645 1
O1 O 0.118 0.041 0.666 1
```

***

(7)
VASP calculation (PBE with a Hubbard U) on a geometry-optimized BeCoSeO structure.

Energy above the lowest structure with this stoichiometry (meV per atom): 101
V (Å³/atom): 15.566

CIF file:
```
data_BeCoSeO
_space_group_name_H-M_alt 'P 21 21 21'
_space_group_IT_number 19
_space_group_name_Hall 'P 2ac 2ab'
_cell_length_a 4.885
_cell_length_b 6.994
_cell_length_c 7.290
_cell_angle_alpha 90.00
_cell_angle_beta 90.00
_cell_angle_gamma 90.00
loop_
_atom_site_label
_atom_site_type_symbol
_atom_site_fract_x
_atom_site_fract_y
_atom_site_fract_z
_atom_site_occupancy
Be1 Be 0.047 0.210 0.076 1
Co1 Co 0.039 0.555 0.883 1
Se1 Se 0.247 0.129 0.340 1
O1 O 0.248 0.333 0.964 1
```

***

(8)
VASP calculation (PBE with a Hubbard U) on a geometry-optimized BeCoSeO structure.

Energy above the lowest structure with this stoichiometry (meV per atom): 633
V (Å³/atom): 13.081

CIF file:
```
data_BeCoSeO
_space_group_name_H-M_alt 'P 4/n m m'
_space_group_IT_number 129
_cell_length_a 3.921
_cell_length_b 3.921
_cell_length_c 6.807
_cell_angle_alpha 90.00
_cell_angle_beta 90.00
_cell_angle_gamma 90.00
loop_
_space_group_symop_operation_xyz
'x,y,z'
'-x,-y,-z'
'-y+1/2,x,z'
'y+1/2,-x,-z'
'-x+1/2,-y+1/2,z'
'x+1/2,y+1/2,-z'
'y,-x+1/2,z'
'-y,x+1/2,-z'
'x+1/2,-y,-z'
'-x+1/2,y,z'
'-y,-x,-z'
'y,x,z'
'-x,y+1/2,-z'
'x,-y+1/2,z'
'y+1/2,x+1/2,-z'
'-y+1/2,-x+1/2,z'
loop_
_atom_site_label
_atom_site_type_symbol
_atom_site_fract_x
_atom_site_fract_y
_atom_site_fract_z
_atom_site_occupancy
Be1 Be 0.250 0.250 0.160 1
Co1 Co 0.250 0.750 0.500 1
Se1 Se 0.250 0.250 0.838 1
O1 O 0.250 0.250 0.388 1
```